Here is crystalline CsScCoO3 at its relaxed geometry from the Open Quantum Materials Database. Energies are from GGA+U.

It has space group Cmcm (No. 63), with a = 3.376 Å, b = 13.283 Å, c = 8.654 Å, α = 90.00°, β = 90.00° and γ = 90.00°. Symmetry generates all atoms from Cs at (0.000, 0.220, 0.250), Sc at (0.000, 0.500, 0.000), Co at (0.000, 0.055, 0.750), O at (0.000, 0.099, 0.540) and O at (0.000, 0.473, 0.750).

For the raw total energy, the calculation gives -0.485 Ry per atom.